Density functional theory data (PBE) for crystalline Li3InPd3 at its relaxed geometry.

Cell and atoms, written as POSCAR:
```
Li3InPd3
1.0
-5.232 2.014 -2.640
-2.728 -5.072 2.285
-1.358 2.962 4.952
Li In Pd
6 2 6
Direct
0.268 0.268 0.500
0.249 0.751 0.500
0.751 0.249 0.500
0.244 0.756 0.000
0.756 0.244 0.000
0.732 0.732 0.500
0.271 0.271 0.000
0.729 0.729 0.000
0.000 0.000 0.738
0.500 0.000 0.259
0.000 0.500 0.259
0.500 0.000 0.741
0.000 0.500 0.741
0.000 0.000 0.262
```

Results
E_form: -304 kJ/mol of formula units
offset from the most stable computed form: 0 meV per atom
total moment: 0.00 μB per formula unit


Density functional theory data (PBE) for crystalline Li5InPd2 at its relaxed geometry.

Cell and atoms, written as POSCAR:
```
Li5InPd2
1.0
3.964 0.000 0.000
0.000 5.632 0.000
0.000 0.000 11.222
Li In Pd
10 2 4
Direct
0.000 0.000 0.000
0.000 0.500 0.500
0.000 0.494 0.748
0.000 0.506 0.252
0.000 0.006 0.248
0.000 0.994 0.752
0.500 0.236 0.871
0.500 0.764 0.129
0.500 0.264 0.371
0.500 0.736 0.629
0.000 0.000 0.500
0.000 0.500 0.000
0.500 0.241 0.626
0.500 0.759 0.374
0.500 0.259 0.126
0.500 0.741 0.874
```

Results
E_form: -276 kJ/mol of formula units
total moment: 0.00 μB per formula unit


DOS at the Fermi energy values (in states/eV/f.u.) by entry order: 2.71 3.50.